(1)
# SrZrGe2O8

A geometry-optimized SrZrGe2O8 structure (PBE, Alexandria).

Output
raw formation energy = -1.986 eV per atom

Cell lengths 5.1049, 5.1049, 11.3309 Å; angles 90.00, 90.00, 90.00 degrees
With the nearest neighbours (Å) after each atom.
Space group I-4 (No. 82)
Symmetry-distinct sites (fractional):
Sr  0.0000  0.0000  0.0000  8 O 2.48-2.54
Zr  0.0000  0.5000  0.2500  8 O 2.21-2.29
Ge  0.0000  0.0000  0.5000  4 O 1.79
Ge  0.0000  0.5000  0.7500  4 O 1.79
O  0.1288  0.2576  0.4100  1 Ge 1.79
O  0.1745  0.7604  0.8203  1 Ge 1.79

***

(2)
# PdPtN2

A geometry-optimized PdPtN2 structure (PBE, Alexandria).

Output
energy above the most stable polymorph in this dataset = 0.0 meV per atom
raw formation energy = 0.753 eV per atom

Cell lengths 3.1149, 3.1149, 18.1631 Å; angles 90.00, 90.00, 120.00 degrees
With the nearest neighbours (Å) after each atom.
Space group R-3m (No. 166, hexagonal axes)
Symmetry-distinct sites (fractional):
Pd  0.0000  0.0000  0.0000  2 N 1.99
Pt  0.0000  0.0000  0.5000  6 N 2.08
N  0.0000  0.0000  0.1094  1 Pd 1.99, 3 Pt 2.08

***

(3)
# LiTl2Bi2

A geometry-optimized LiTl2Bi2 structure (PBE, Alexandria).

Output
energy above the most stable polymorph in this dataset = 35.8 meV per atom
calculated formation energy = -0.079 eV per atom

Cell lengths 7.6030, 7.6030, 5.4110 Å; angles 90.00, 90.00, 90.00 degrees
With the nearest neighbours (Å) after each atom.
Space group P4/mbm (No. 127)
Symmetry-distinct sites (fractional):
Li  0.0000  0.0000  0.0000  4 Bi 2.92
Tl  0.1666  0.3334  0.5000  6 Bi 3.39-3.59, 1 Tl 3.58
Bi  0.1439  0.6439  0.0000  2 Li 2.92, 1 Bi 3.09

***

(4)
# LiInNi

A geometry-optimized LiInNi structure (PBE, Alexandria).

Output
calculated formation energy = -0.128 eV per atom

Cell lengths 4.2777, 4.2777, 2.8183 Å; angles 90.00, 90.00, 120.00 degrees
With the nearest neighbours (Å) after each atom.
Space group P3m1 (No. 156)
Symmetry-distinct sites (fractional):
Li  0.0000  0.0000  0.0000  3 Ni 2.48, 3 In 2.77
In  0.3333  0.6667  0.5525  6 Li 2.77-2.92, 6 Ni 2.79-2.90, 2 In 2.82
Ni  0.6667  0.3333  0.0929  3 Li 2.48

***

Question: Which formula does entry 1 have?
Answer: SrZrGe2O8